No. 1
A plane-wave DFT calculation with PBE was carried out for crystalline TmTl2GaTe4 at its relaxed geometry.

Cell and atoms, written as CIF:
```
data_TmTl2GaTe4
_symmetry_space_group_name_H-M 'I m m a'
_symmetry_Int_Tables_number 74
_symmetry_space_group_name_Hall '-I 2b 2'
_cell_length_a 8.864
_cell_length_b 9.009
_cell_length_c 12.964
_cell_angle_alpha 90.00
_cell_angle_beta 90.00
_cell_angle_gamma 90.00
loop_
_atom_site_label
_atom_site_type_symbol
_atom_site_fract_x
_atom_site_fract_y
_atom_site_fract_z
_atom_site_occupancy
Tm1 Tm 0.250 0.250 0.250 1
Tl1 Tl 0.000 0.000 0.000 1
Tl2 Tl 0.250 0.250 0.750 1
Ga1 Ga 0.000 0.000 0.500 1
Te1 Te 0.000 0.021 0.264 1
Te2 Te 0.221 0.250 0.489 1
```

Calculated values
* uncorrected energy: -3.66 eV/atom
* N(E_F): 3.82 states/eV/f.u.
* crystal system: orthorhombic
* magnetic moment: 0.00 μB/f.u.

No. 2
A plane-wave DFT calculation with PBE was carried out for crystalline Y3Tl3GaTe8 at its relaxed geometry.

Cell and atoms, written as CIF:
```
data_Y3Tl3GaTe8
_symmetry_space_group_name_H-M 'C 1 2/m 1'
_symmetry_Int_Tables_number 12
_symmetry_space_group_name_Hall '-C 2y'
_cell_length_a 15.162
_cell_length_b 8.745
_cell_length_c 9.599
_cell_angle_alpha 90.00
_cell_angle_beta 121.79
_cell_angle_gamma 90.00
loop_
_atom_site_label
_atom_site_type_symbol
_atom_site_fract_x
_atom_site_fract_y
_atom_site_fract_z
_atom_site_occupancy
Y1 Y 0.000 0.000 0.000 1
Y2 Y 0.250 0.250 0.000 1
Tl1 Tl 0.000 0.500 0.500 1
Tl2 Tl 0.250 0.250 0.500 1
Ga1 Ga 0.000 0.500 0.000 1
Te1 Te 0.011 0.263 0.796 1
Te2 Te 0.225 0.500 0.204 1
Te3 Te 0.239 0.000 0.217 1
```

Calculated values
* uncorrected energy: -4.46 eV/atom
* N(E_F): 7.36 states/eV/f.u.
* crystal system: monoclinic
* magnetic moment: 0.00 μB/f.u.

No. 3
A plane-wave DFT calculation with PBE was carried out for crystalline Tm5Ga2Te2 at its relaxed geometry.

Cell and atoms, written as CIF:
```
data_Tm5Ga2Te2
_symmetry_space_group_name_H-M 'C m c e'
_symmetry_Int_Tables_number 64
_symmetry_space_group_name_Hall '-C 2ac 2'
_cell_length_a 15.150
_cell_length_b 7.776
_cell_length_c 7.805
_cell_angle_alpha 90.00
_cell_angle_beta 90.00
_cell_angle_gamma 90.00
loop_
_atom_site_label
_atom_site_type_symbol
_atom_site_fract_x
_atom_site_fract_y
_atom_site_fract_z
_atom_site_occupancy
Tm1 Tm 0.000 0.000 0.000 1
Tm2 Tm 0.126 0.167 0.332 1
Ga1 Ga 0.000 0.130 0.628 1
Te1 Te 0.206 0.000 0.000 1
```

Calculated values
* uncorrected energy: -4.73 eV/atom
* N(E_F): 10.86 states/eV/f.u.
* crystal system: orthorhombic
* magnetic moment: 0.00 μB/f.u.